Compound: Gd3Tm2ScTe2Pd
Source: OQMD
Functional: PBE
Structure: optimized geometry

It has space group Amm2 (No. 38), with a = 3.9663 Å, b = 14.3211 Å, c = 8.2929 Å, α = 90.00°, β = 90.00° and γ = 90.00°. The distinct sites, in fractional coordinates, are Gd at (0.0000, 0.0000, 0.0000), Gd at (0.0000, 0.1987, 0.3926), Tm at (0.5000, 0.1203, 0.7144), Sc at (0.5000, 0.0000, 0.3456), Te at (0.5000, 0.1655, 0.0943) and Pd at (0.0000, 0.0000, 0.5793).

As for the spin magnetization: 0.0019 μB per atom. As for the uncorrected energy: -96.4 eV/cell.



Compound: SrTaN2
Source: OQMD
Functional: PBE
Structure: optimized geometry

It has space group P2_1/c (No. 14), with a = 6.6311 Å, b = 7.5489 Å, c = 5.8602 Å, α = 90.00°, β = 112.17° and γ = 90.00°. The distinct sites, in fractional coordinates, are Sr at (0.1659, 0.0904, 0.3189), Ta at (0.3615, 0.6528, 0.4133), N at (0.1905, 0.7147, 0.0683) and N at (0.3051, 0.1001, 0.9520).

As for the spin magnetization: 0.0008 μB per atom. As for the uncorrected energy: -137.4 eV/cell.



Which formula does entry 2 have?
SrTaN2